1.
## ErNi6BP (PBE)

Data for ErNi6BP after structural relaxation.

Cell: 7.547 6.397 7.082 Å, 116.85 122.20 90.00°
Fractional positions:
Ni 0.644 0.394 0.288
Ni 0.146 0.345 0.750
Ni 0.604 0.905 0.750
Ni 0.396 0.655 0.250
Ni 0.396 0.095 0.250
Ni 0.604 0.345 0.750
Ni 0.854 0.095 0.250
Ni 0.799 0.049 0.598
Ni 0.146 0.905 0.750
Ni 0.201 0.951 0.402
Ni 0.854 0.655 0.250
Ni 0.356 0.606 0.712
Er 0.932 0.682 0.865
Er 0.068 0.318 0.135
P 0.500 0.000 0.000
P 0.500 0.500 0.000
B 0.500 0.000 0.500
B 0.000 0.000 0.500

* DFT total energy: -106.28 eV for the cell shown
* V: 13.59 Å³/atom
* Fermi-level density of states: 0.46 states/eV/atom
* total magnetization: 0.00 μB per formula unit
* energy of formation: -0.200 eV per atom


2.
## Er3NiB2Pt9 (PBE)

Data for Er3NiB2Pt9 after structural relaxation.

Cell: 5.678 5.678 9.188 Å, 90.00 90.00 120.00°
Fractional positions:
Pt 0.163 0.326 0.288
Pt 0.163 0.837 0.288
Pt 0.000 0.500 0.000
Pt 0.500 0.500 0.000
Pt 0.500 0.000 0.000
Pt 0.837 0.674 0.712
Pt 0.326 0.163 0.712
Pt 0.674 0.837 0.288
Pt 0.837 0.163 0.712
Er 0.333 0.667 0.592
Er 0.000 0.000 0.000
Er 0.667 0.333 0.408
B 0.333 0.667 0.152
B 0.667 0.333 0.848
Ni 0.000 0.000 0.500

* DFT total energy: -99.20 eV for the cell shown
* V: 17.10 Å³/atom
* Fermi-level density of states: 0.46 states/eV/atom
* total magnetization: 0.00 μB per formula unit
* energy of formation: -0.801 eV per atom


3.
## Er2NiB2Rh5 (PBE)

Data for Er2NiB2Rh5 after structural relaxation.

Cell: 3.194 9.382 9.382 Å, 90.00 90.00 90.00°
Fractional positions:
Rh 0.500 0.718 0.430
Rh 0.500 0.070 0.782
Rh 0.500 0.930 0.218
Rh 0.500 0.218 0.070
Rh 0.500 0.282 0.570
Rh 0.500 0.000 0.500
Rh 0.500 0.782 0.930
Rh 0.500 0.570 0.718
Rh 0.500 0.430 0.282
Rh 0.500 0.500 0.000
Er 0.000 0.324 0.824
Er 0.000 0.824 0.676
Er 0.000 0.676 0.176
Er 0.000 0.176 0.324
Ni 0.000 0.500 0.500
Ni 0.000 0.000 0.000
B 0.000 0.375 0.125
B 0.000 0.875 0.375
B 0.000 0.625 0.875
B 0.000 0.125 0.625

* DFT total energy: -143.19 eV for the cell shown
* V: 14.06 Å³/atom
* Fermi-level density of states: 0.82 states/eV/atom
* total magnetization: 0.96 μB per formula unit
* energy of formation: -0.658 eV per atom


4.
## ErNiBRh2 (PBE)

Data for ErNiBRh2 after structural relaxation.

Cell: 3.982 4.199 4.199 Å, 90.00 90.00 90.00°
Fractional positions:
Rh 0.000 0.000 0.500
Rh 0.000 0.500 0.000
Ni 0.500 0.000 0.000
Er 0.500 0.500 0.500
B 0.000 0.000 0.000

* DFT total energy: -35.50 eV for the cell shown
* V: 14.04 Å³/atom
* Fermi-level density of states: 0.09 states/eV/atom
* total magnetization: 0.00 μB per formula unit
* energy of formation: -0.756 eV per atom


5.
## ErNiB2Ru (PBE)

Data for ErNiB2Ru after structural relaxation.

Cell: 3.674 3.674 5.330 Å, 110.16 110.16 90.00°
Fractional positions:
Ni 0.750 0.250 0.500
B 0.636 0.636 0.272
B 0.364 0.364 0.728
Er 0.000 0.000 0.000
Ru 0.250 0.750 0.500

* DFT total energy: -35.67 eV for the cell shown
* V: 12.56 Å³/atom
* Fermi-level density of states: 0.26 states/eV/atom
* total magnetization: 0.00 μB per formula unit
* energy of formation: -0.538 eV per atom


6.
## Er4Ni12SnB3 (PBE)

Data for Er4Ni12SnB3 after structural relaxation.

Cell: 7.209 7.209 7.209 Å, 109.47 109.47 109.47°
Fractional positions:
Er 0.500 0.000 0.000
Er 0.500 0.500 0.500
Er 0.000 0.000 0.500
Er 0.000 0.500 0.000
Ni 0.000 0.716 0.716
Ni 0.500 0.750 0.250
Ni 0.000 0.284 0.284
Ni 0.250 0.750 0.500
Ni 0.284 0.000 0.284
Ni 0.716 0.000 0.716
Ni 0.500 0.250 0.750
Ni 0.750 0.250 0.500
Ni 0.750 0.500 0.250
Ni 0.284 0.284 0.000
Ni 0.250 0.500 0.750
Ni 0.716 0.716 0.000
B 0.500 0.000 0.500
B 0.500 0.500 0.000
B 0.000 0.500 0.500
Sn 0.000 0.000 0.000

* DFT total energy: -117.24 eV for the cell shown
* V: 14.42 Å³/atom
* Fermi-level density of states: 0.77 states/eV/atom
* total magnetization: 0.00 μB per formula unit
* energy of formation: -0.279 eV per atom


7.
## Er2ZnNi12B3 (PBE)

Data for Er2ZnNi12B3 after structural relaxation.

Cell: 6.762 6.762 6.762 Å, 62.51 62.51 62.51°
Fractional positions:
Ni 0.855 0.436 0.855
Ni 0.874 0.272 0.272
Ni 0.436 0.855 0.855
Ni 0.145 0.564 0.145
Ni 0.564 0.145 0.145
Ni 0.272 0.874 0.272
Ni 0.728 0.728 0.126
Ni 0.728 0.126 0.728
Ni 0.145 0.145 0.564
Ni 0.126 0.728 0.728
Ni 0.855 0.855 0.436
Ni 0.272 0.272 0.874
Er 0.406 0.406 0.406
Er 0.594 0.594 0.594
B 0.500 0.000 0.000
B 0.000 0.000 0.500
B 0.000 0.500 0.000
Zn 0.000 0.000 0.000

* DFT total energy: -101.20 eV for the cell shown
* V: 12.82 Å³/atom
* Fermi-level density of states: 0.53 states/eV/atom
* total magnetization: 0.00 μB per formula unit
* energy of formation: -0.077 eV per atom


8.
## ErNpB4 (PBE)

Data for ErNpB4 after structural relaxation.

Cell: 4.710 4.710 4.710 Å, 60.00 60.00 60.00°
Fractional positions:
B 0.594 0.594 0.218
B 0.594 0.218 0.594
B 0.218 0.594 0.594
B 0.594 0.594 0.594
Np 0.250 0.250 0.250
Er 0.000 0.000 0.000

* DFT total energy: -41.66 eV for the cell shown
* V: 12.31 Å³/atom
* Fermi-level density of states: 2.19 states/eV/atom
* total magnetization: 3.12 μB per formula unit
* energy of formation: 0.425 eV per atom


9.
## ErNpB4 (PBE)

Data for ErNpB4 after structural relaxation.

Cell: 3.950 6.090 11.941 Å, 90.00 90.00 90.00°
Fractional positions:
B 0.500 0.799 0.187
B 0.500 0.128 0.969
B 0.500 0.628 0.531
B 0.500 0.984 0.305
B 0.500 0.016 0.695
B 0.500 0.484 0.195
B 0.500 0.130 0.556
B 0.500 0.630 0.944
B 0.500 0.872 0.031
B 0.500 0.370 0.056
B 0.500 0.201 0.813
B 0.500 0.701 0.687
B 0.500 0.372 0.469
B 0.500 0.516 0.805
B 0.500 0.870 0.444
B 0.500 0.299 0.313
Er 0.000 0.379 0.661
Er 0.000 0.879 0.839
Er 0.000 0.121 0.161
Er 0.000 0.621 0.339
Np 0.000 0.122 0.425
Np 0.000 0.878 0.575
Np 0.000 0.378 0.925
Np 0.000 0.622 0.075

* DFT total energy: -182.17 eV for the cell shown
* V: 11.97 Å³/atom
* Fermi-level density of states: 0.87 states/eV/atom
* total magnetization: 1.55 μB per formula unit
* energy of formation: -0.222 eV per atom


10.
## ErNpB (PBE)

Data for ErNpB after structural relaxation.

Cell: 5.290 7.493 3.496 Å, 90.01 109.30 57.87°
Fractional positions:
B 0.098 0.666 0.109
B 0.491 0.440 0.306
Np 0.965 0.249 0.043
Np 0.117 0.401 0.619
Er 0.441 0.730 0.781
Er 0.707 0.990 0.414

* DFT total energy: -48.02 eV for the cell shown
* V: 18.01 Å³/atom
* Fermi-level density of states: 1.52 states/eV/atom
* total magnetization: 0.71 μB per formula unit
* energy of formation: 0.056 eV per atom


11.
## ErB3O6 (PBE)

Data for ErB3O6 after structural relaxation.

Cell: 7.410 12.271 15.964 Å, 90.00 90.00 90.00°
Fractional positions:
B 0.922 0.483 0.152
B 0.430 0.187 0.717
B 0.922 0.017 0.652
B 0.076 0.142 0.109
B 0.560 0.324 0.467
B 0.576 0.858 0.891
B 0.930 0.687 0.783
B 0.940 0.176 0.967
B 0.431 0.873 0.742
B 0.927 0.845 0.444
B 0.060 0.824 0.033
B 0.440 0.824 0.033
B 0.924 0.642 0.391
B 0.931 0.373 0.758
B 0.573 0.845 0.444
B 0.069 0.873 0.742
B 0.431 0.627 0.242
B 0.570 0.687 0.783
B 0.076 0.358 0.609
B 0.940 0.324 0.467
B 0.560 0.176 0.967
B 0.440 0.676 0.533
B 0.569 0.373 0.758
B 0.427 0.345 0.056
B 0.078 0.983 0.348
B 0.576 0.642 0.391
B 0.930 0.813 0.283
B 0.422 0.517 0.848
B 0.573 0.655 0.944
B 0.427 0.155 0.556
B 0.070 0.187 0.717
B 0.070 0.313 0.217
B 0.570 0.813 0.283
B 0.060 0.676 0.533
B 0.424 0.142 0.109
B 0.569 0.127 0.258
B 0.578 0.017 0.652
B 0.430 0.313 0.217
B 0.424 0.358 0.609
B 0.073 0.155 0.556
B 0.078 0.517 0.848
B 0.924 0.858 0.891
B 0.069 0.627 0.242
B 0.422 0.983 0.348
B 0.927 0.655 0.944
B 0.931 0.127 0.258
B 0.578 0.483 0.152
B 0.073 0.345 0.056
O 0.935 0.122 0.048
O 0.546 0.878 0.097
O 0.434 0.563 0.164
O 0.065 0.878 0.952
O 0.435 0.878 0.952
O 0.066 0.937 0.664
O 0.250 0.104 0.078
O 0.560 0.431 0.069
O 0.750 0.898 0.452
O 0.250 0.863 0.776
O 0.750 0.958 0.658
O 0.046 0.122 0.903
O 0.750 0.137 0.224
O 0.250 0.808 0.068
O 0.434 0.937 0.664
O 0.521 0.790 0.523
O 0.750 0.308 0.432
O 0.250 0.692 0.568
O 0.566 0.437 0.836
O 0.534 0.924 0.815
O 0.979 0.790 0.523
O 0.479 0.229 0.277
O 0.565 0.378 0.548
O 0.466 0.076 0.185
O 0.250 0.042 0.342
O 0.427 0.235 0.628
O 0.560 0.069 0.569
O 0.250 0.145 0.745
O 0.021 0.271 0.777
O 0.927 0.765 0.372
O 0.034 0.076 0.185
O 0.750 0.645 0.755
O 0.434 0.898 0.282
O 0.060 0.931 0.431
O 0.966 0.924 0.815
O 0.940 0.431 0.069
O 0.750 0.542 0.158
O 0.934 0.102 0.718
O 0.060 0.569 0.931
O 0.934 0.063 0.336
O 0.954 0.878 0.097
O 0.021 0.229 0.277
O 0.750 0.855 0.255
O 0.250 0.355 0.245
O 0.534 0.576 0.315
O 0.566 0.102 0.718
O 0.434 0.602 0.782
O 0.065 0.622 0.452
O 0.573 0.765 0.372
O 0.435 0.622 0.452
O 0.073 0.265 0.128
O 0.440 0.569 0.931
O 0.046 0.378 0.403
O 0.427 0.265 0.128
O 0.034 0.424 0.685
O 0.750 0.604 0.422
O 0.440 0.931 0.431
O 0.927 0.735 0.872
O 0.565 0.122 0.048
O 0.546 0.622 0.597
O 0.466 0.424 0.685
O 0.454 0.122 0.903
O 0.940 0.069 0.569
O 0.954 0.622 0.597
O 0.934 0.398 0.218
O 0.750 0.192 0.932
O 0.566 0.398 0.218
O 0.250 0.458 0.842
O 0.479 0.271 0.777
O 0.250 0.398 0.048
O 0.454 0.378 0.403
O 0.066 0.563 0.164
O 0.979 0.710 0.023
O 0.979 0.729 0.223
O 0.966 0.576 0.315
O 0.250 0.396 0.578
O 0.066 0.602 0.782
O 0.934 0.437 0.836
O 0.750 0.896 0.922
O 0.750 0.363 0.724
O 0.979 0.771 0.723
O 0.479 0.210 0.477
O 0.250 0.637 0.276
O 0.750 0.602 0.952
O 0.566 0.063 0.336
O 0.021 0.290 0.977
O 0.521 0.710 0.023
O 0.521 0.729 0.223
O 0.573 0.735 0.872
O 0.250 0.102 0.548
O 0.521 0.771 0.723
O 0.479 0.290 0.977
O 0.066 0.898 0.282
O 0.021 0.210 0.477
O 0.073 0.235 0.628
O 0.935 0.378 0.548
Er 0.250 0.563 0.674
Er 0.750 0.063 0.826
Er 0.750 0.413 0.951
Er 0.250 0.236 0.371
Er 0.750 0.010 0.119
Er 0.750 0.736 0.129
Er 0.750 0.490 0.619
Er 0.750 0.087 0.451
Er 0.250 0.264 0.871
Er 0.250 0.510 0.381
Er 0.250 0.913 0.549
Er 0.250 0.587 0.049
Er 0.750 0.764 0.629
Er 0.250 0.937 0.174
Er 0.250 0.990 0.881
Er 0.750 0.437 0.326

* DFT total energy: -1314.56 eV for the cell shown
* formation energy (no corrections): -2782 meV/atom
* V: 9.07 Å³/atom
* Fermi-level density of states: 0.00 states/eV/atom
* total magnetization: 0.00 μB per formula unit


12.
## ErB2O4 (PBE)

Data for ErB2O4 after structural relaxation.

Cell: 5.131 5.131 5.131 Å, 98.96 98.96 133.51°
Fractional positions:
O 0.501 0.837 0.338
O 0.163 0.501 0.665
O 0.837 0.499 0.335
O 0.499 0.163 0.662
B 0.250 0.750 0.500
B 0.750 0.250 0.500
Er 0.500 0.500 0.000

* DFT total energy: -55.10 eV for the cell shown
* formation energy (no corrections): -2479 meV/atom
* V: 12.86 Å³/atom
* Fermi-level density of states: 0.15 states/eV/atom
* total magnetization: 0.00 μB per formula unit


13.
## ErB2O4 (PBE)

Data for ErB2O4 after structural relaxation.

Cell: 2.751 2.751 10.530 Å, 82.49 82.49 60.00°
Fractional positions:
Er 0.000 0.000 0.000
O 0.282 0.282 0.155
O 0.888 0.888 0.337
O 0.718 0.718 0.845
O 0.112 0.112 0.663
B 0.238 0.238 0.287
B 0.762 0.762 0.713

* DFT total energy: -51.25 eV for the cell shown
* formation energy (no corrections): -1928 meV/atom
* V: 9.75 Å³/atom
* Fermi-level density of states: 0.07 states/eV/atom
* total magnetization: 0.00 μB per formula unit